# 1
An optimized crystal structure of Tb3Tl2Rh. Source: Alexandria, functional PBE.

As for the total moment: 0.00 μB/cell. The value obtained for the formation energy is -0.424 eV/atom. As for the final energy: -28.52 eV per formula unit. The calculation puts the calculated volume at 27.93 Å³ per atom.

The structure belongs to space group C2/m (No. 12); the cell edges are 7.793, 10.955 and 7.978 Å and the angles 90.00°, 100.16° and 90.00°. The asymmetric unit holds Tb at (0.173, 0.000, 0.171), Tb at (0.224, 0.178, 0.773), Tl at (0.000, 0.000, 0.500), Tl at (0.000, 0.362, 0.500), Tl at (0.000, 0.500, 0.000) and Rh at (0.000, 0.207, 0.000).

---

# 2
An optimized crystal structure of Tb4Tl2Rh. Source: Alexandria, functional PBE.

As for the total moment: 0.00 μB/cell. The value obtained for the formation energy is -0.340 eV/atom. As for the final energy: -32.98 eV per formula unit. The calculation puts the calculated volume at 29.63 Å³ per atom.

The structure belongs to space group P2/m (No. 10); the cell edges are 6.574, 3.721 and 9.052 Å and the angles 90.00°, 110.47° and 90.00°. The asymmetric unit holds Tb at (0.120, 0.000, 0.256), Tb at (0.334, 0.500, 0.652), Tl at (0.263, 0.500, 0.000) and Rh at (0.500, 0.000, 0.500).

---

# 3
An optimized crystal structure of Tb8Tl2Rh. Source: Alexandria, functional PBE.

As for the total moment: 0.00 μB/cell. The value obtained for the formation energy is -0.273 eV/atom. As for the final energy: -52.13 eV per formula unit. The calculation puts the calculated volume at 28.59 Å³ per atom.

The structure belongs to space group C2/m (No. 12); the cell edges are 18.680, 5.270 and 6.769 Å and the angles 90.00°, 109.30° and 90.00°. The asymmetric unit holds Tb at (0.018, 0.000, 0.245), Tb at (0.091, 0.500, 0.741), Tb at (0.149, 0.500, 0.307), Tb at (0.207, 0.000, 0.088), Tl at (0.172, 0.000, 0.607) and Rh at (0.000, 0.500, 0.000).

---

# 4
An optimized crystal structure of Tb5TlRh2. Source: Alexandria, functional PBE.

As for the total moment: 0.02 μB/cell. The value obtained for the formation energy is -0.593 eV/atom. As for the final energy: -44.96 eV per formula unit. The calculation puts the calculated volume at 25.92 Å³ per atom.

The structure belongs to space group I4/mcm (No. 140); the cell edges are 7.808, 7.808 and 13.605 Å and the angles 90.00°, 90.00° and 90.00°. The asymmetric unit holds Tb at (0.000, 0.000, 0.000), Tb at (0.160, 0.340, 0.134), Tl at (0.000, 0.000, 0.250) and Rh at (0.139, 0.361, 0.500).

---

# 5
An optimized crystal structure of Tb4TlRh2. Source: Alexandria, functional PBE.

As for the total moment: 0.00 μB/cell. The value obtained for the formation energy is -0.542 eV/atom. As for the final energy: -39.39 eV per formula unit. The calculation puts the calculated volume at 27.60 Å³ per atom.

The structure belongs to space group R-3m (No. 166, hexagonal axes); the cell edges are 4.1501, 4.1501 and 38.8585 Å and the angles 90.00°, 90.00° and 120.00°. The asymmetric unit holds Tb at (0.0000, 0.0000, 0.1072), Tb at (0.0000, 0.0000, 0.2985), Tl at (0.0000, 0.0000, 0.5000) and Rh at (0.0000, 0.0000, 0.4031).

---

# 6
An optimized crystal structure of Tb7Tl2Rh2. Source: Alexandria, functional PBE.

As for the total moment: 0.00 μB/cell. The value obtained for the formation energy is -0.379 eV/atom. As for the final energy: -56.01 eV per formula unit. As for the energy above the lowest structure with this stoichiometry: 0.0338 eV per atom. The calculation puts the calculated volume at 29.21 Å³ per atom.

The structure belongs to space group Cmmm (No. 65); the cell edges are 8.140, 11.049 and 7.146 Å and the angles 90.00°, 90.00° and 90.00°. The asymmetric unit holds Tb at (0.000, 0.000, 0.000), Tb at (0.000, 0.500, 0.240), Tb at (0.250, 0.250, 0.248), Tl at (0.182, 0.000, 0.500) and Rh at (0.000, 0.289, 0.000).

---

# 7
An optimized crystal structure of TbTlRh. Source: Alexandria, functional PBE.

As for the total moment: 0.00 μB/cell. The value obtained for the formation energy is -0.421 eV/atom. As for the final energy: -15.61 eV per formula unit. The calculation puts the calculated volume at 21.84 Å³ per atom.

The structure belongs to space group I4mm (No. 107); the cell edges are 3.620, 3.620 and 10.005 Å and the angles 90.00°, 90.00° and 90.00°. The asymmetric unit holds Tb at (0.000, 0.000, 0.000), Tl at (0.000, 0.000, 0.696) and Rh at (0.000, 0.000, 0.353).

---

# 8
An optimized crystal structure of Tb2TlRh. Source: Alexandria, functional PBE.

As for the total moment: 0.00 μB/cell. The value obtained for the formation energy is -0.508 eV/atom. As for the final energy: -21.01 eV per formula unit. As for the energy above the lowest structure with this stoichiometry: 0.0968 eV per atom. The calculation puts the calculated volume at 27.34 Å³ per atom.

The structure belongs to space group Cm (No. 8); the cell edges are 6.818, 3.927 and 8.492 Å and the angles 90.00°, 105.82° and 90.00°. The asymmetric unit holds Tb at (0.000, 0.000, 0.000), Tb at (0.202, 0.000, 0.610), Tl at (0.269, 0.500, 0.305) and Rh at (0.102, 0.500, 0.807).

---

Which value of calculated volume does entry 2 give? 29.63 Å³ per atom

---

calculated volume of number 8 (Tb2TlRh)? 27.34 Å³ per atom